Entry 1:
SnSbPb4 | PBE | optimized geometry

abc: 7.754 9.974 9.652
angles: 136.57 132.16 58.56
Element x y z (fractional)
Sn  0.300  0.050  0.101
Sn  0.700  0.950  0.899
Sb  0.619  0.369  0.739
Sb  0.381  0.631  0.261
Pb  0.698  0.323  0.406
Pb  0.158  0.620  0.831
Pb  0.792  0.917  0.594
Pb  0.827  0.790  0.169
Pb  0.302  0.677  0.594
Pb  0.208  0.083  0.406
Pb  0.842  0.380  0.169
Pb  0.173  0.210  0.831

Results
Polymorph energy (0 for the lowest one) in eV/f.u.: 0.00
Crystal system: monoclinic
VASP energy in eV per atom: -3.77
E_form (uncorrected) in meV per atom: 58

Entry 2:
As2OsW | PBE | optimized geometry

abc: 4.336 4.336 5.275
angles: 79.04 79.04 39.67
Element x y z (fractional)
As  0.997  0.997  0.003
As  0.503  0.503  0.497
Os  0.250  0.250  0.250
W  0.750  0.750  0.750

Results
Polymorph energy (0 for the lowest one) in eV/f.u.: 1.32
Crystal system: monoclinic
E_form in eV per atom: 0.4077
VASP energy in eV per atom: -7.96

Entry 3:
TbPmHo2Th | PBE | optimized geometry

abc: 5.625 8.683 7.077
angles: 90.04 90.00 90.00
Element x y z (fractional)
Tb  0.000  0.500  0.750
Tb  0.000  0.500  0.250
Pm  0.000  0.000  0.000
Pm  0.000  0.000  0.500
Ho  0.500  0.679  0.000
Ho  0.500  0.321  0.500
Ho  0.500  0.679  0.500
Ho  0.500  0.321  0.000
Th  0.500  0.000  0.250
Th  0.500  0.000  0.750

Results
Crystal system: orthorhombic
E_form in eV per atom: 0.3174
VASP energy in eV per atom: -4.87

Entry 4:
TlBiPbI2 | PBE | optimized geometry

abc: 6.328 6.195 6.328
angles: 90.00 90.00 90.00
Last column: magnetic moment on the atom in μB.
Element x y z (fractional)
Pb  0.000  0.000  0.000  -0.02
I  0.000  0.000  0.500  0.05
I  0.500  0.000  0.000  0.06
Tl  0.500  0.500  0.500  0.01
Bi  0.000  0.500  0.000  0.79

Results
Crystal system: tetragonal
VASP energy in eV per atom: -2.61
E_form (uncorrected) in meV per atom: -3

Entry 5:
PrCuBiPd | PBE | optimized geometry

abc: 4.986 4.986 4.986
angles: 60.00 60.00 60.00
Element x y z (fractional)
Pr  0.500  0.500  0.500
Cu  0.250  0.250  0.250
Bi  0.000  0.000  0.000
Pd  0.750  0.750  0.750

Results
Crystal system: cubic
E_form in eV per atom: -0.4624
VASP energy in eV per atom: -4.95

Entry 6:
LaTlAu | PBE | optimized geometry

abc: 4.985 4.985 3.696
angles: 90.00 90.00 120.00
Element x y z (fractional)
Tl  0.667  0.333  0.833
Au  0.000  0.000  0.833
La  0.333  0.667  0.333

Results
Crystal system: hexagonal
E_form in eV per atom: -0.5823
VASP energy in eV per atom: -4.11